First-principles (PBE-GGA) data for a geometry-optimized LaDyH structure, as listed in the Alexandria database.

Geometry as extended XYZ:
```
3
Lattice="-0.202 3.271 1.687 -3.007 -2.111 -0.293 1.306 -2.574 5.148" Properties=species:S:1:pos:R:3 pbc="T T T"
H -0.679 0.575 2.830
Dy -1.334 -1.772 3.277
La 0.110 -0.218 0.435
```

=====

First-principles (PBE-GGA) data for a geometry-optimized La3Dy5H12 structure, as listed in the Alexandria database.

Geometry as extended XYZ:
```
80
Lattice="11.639 0.000 0.000 -3.880 10.973 0.000 -3.880 -5.486 9.503" Properties=species:S:1:pos:R:3 pbc="T T T"
Dy 5.819 0.000 0.000
H 8.085 5.532 1.536
Dy 2.910 8.230 2.376
La -0.970 4.801 5.939
H 1.202 0.771 5.480
Dy 0.000 0.000 0.000
Dy 3.880 -2.743 4.751
H 3.711 1.658 5.559
Dy -0.970 0.686 5.939
H 7.590 1.242 0.536
H 2.108 -1.658 5.559
H 0.581 6.723 6.288
H 7.021 -3.869 8.159
H -1.202 3.869 8.159
H -3.299 4.827 5.288
Dy 0.970 3.429 8.315
La 6.789 3.429 1.188
H 1.614 1.353 8.774
La 4.849 0.686 3.564
H -3.142 9.355 1.344
H 5.081 1.618 1.344
H 8.497 2.388 2.679
H 5.238 6.146 5.288
Dy -2.910 6.172 3.564
Dy 3.880 5.486 0.000
H -1.359 -0.659 4.215
Dy 0.970 -2.743 7.127
H -1.614 0.045 7.966
H 2.678 4.716 4.023
H 7.178 0.659 4.215
Dy 4.849 -3.429 8.315
H 2.266 4.133 0.729
Dy 2.910 2.057 1.188
H 6.400 -0.577 2.073
H 4.617 -0.771 5.480
La -2.910 2.057 8.315
H -0.326 6.840 0.729
La 2.910 0.000 7.127
H -2.521 6.064 7.430
La -4.849 5.486 7.127
H 1.359 4.250 6.288
H -4.205 -0.045 7.966
H 4.460 4.909 7.430
H 5.081 8.585 2.679
H 5.988 9.731 0.536
H 3.299 -1.237 3.215
H -3.711 4.244 8.966
H 7.928 -2.587 6.095
Dy -0.970 8.916 1.188
H -2.108 -4.244 8.966
La 6.789 7.544 1.188
Dy -1.940 -2.743 4.751
Dy -1.940 5.486 0.000
La -2.910 -2.057 8.315
H 0.169 3.829 3.944
Dy 4.849 4.801 3.564
H -2.108 2.587 6.095
Dy -0.970 2.743 2.376
Dy 4.849 2.743 7.127
H -0.738 6.257 4.023
Dy 1.940 2.743 4.751
H 2.521 1.237 3.215
La 2.910 6.172 5.939
Dy -3.880 2.743 4.751
La 8.729 0.000 2.376
La 0.970 5.486 2.376
La 0.970 -0.686 3.564
H 4.205 1.308 8.695
H -1.202 -3.098 6.824
Dy 6.789 -0.686 5.939
H -4.617 3.098 6.824
H 2.266 6.794 0.808
H 1.771 7.144 3.944
H -0.581 0.577 2.073
H 5.988 2.900 3.407
H 5.493 5.441 1.536
H 1.614 -1.308 8.695
H -4.048 8.073 3.407
H -0.326 4.179 0.808
H 4.205 -1.353 8.774
```

=====

First-principles (PBE-GGA) data for a geometry-optimized LaDyH structure, as listed in the Alexandria database.

Geometry as extended XYZ:
```
6
Lattice="-1.778 2.349 -2.331 -4.418 0.928 4.304 6.247 2.082 3.386" Properties=species:S:1:pos:R:3 pbc="T T T"
Dy -0.647 3.166 4.792
La -3.728 2.045 2.989
La -2.807 2.550 -0.237
H 0.380 4.842 5.700
Dy 0.358 3.512 1.345
H -0.668 1.835 0.439
```

=====

First-principles (PBE-GGA) data for a geometry-optimized LaNdDy2H structure, as listed in the Alexandria database.

Geometry as extended XYZ:
```
5
Lattice="-4.546 -2.238 -0.564 1.866 -4.298 2.014 -1.360 1.589 4.651" Properties=species:S:1:pos:R:3 pbc="T T T"
Dy -0.680 0.795 2.325
La -2.020 -2.473 3.050
Dy 0.933 -2.149 1.007
Nd -2.273 -1.119 -0.282
H 0.000 0.000 0.000
```

=====

First-principles (PBE-GGA) data for a geometry-optimized LaPm2DyH structure, as listed in the Alexandria database.

Geometry as extended XYZ:
```
5
Lattice="-0.921 -0.836 -4.949 4.786 -1.775 -0.591 -1.625 -4.748 1.104" Properties=species:S:1:pos:R:3 pbc="T T T"
La 1.120 -3.679 -2.218
Pm -0.812 -2.374 0.552
Dy -0.460 -0.418 -2.474
H 0.000 0.000 0.000
Pm 2.393 -0.887 -0.295
```

=====

First-principles (PBE-GGA) data for a geometry-optimized LaPmDy2H structure, as listed in the Alexandria database.

Geometry as extended XYZ:
```
5
Lattice="5.082 0.000 0.000 0.000 5.090 0.000 0.000 0.000 5.090" Properties=species:S:1:pos:R:3 pbc="T T T"
Dy 0.000 2.545 0.000
Pm 2.541 0.000 0.000
H 0.000 0.000 0.000
La 2.541 2.545 2.545
Dy 0.000 0.000 2.545
```

=====

| no. | calculated total energy (eV for the cell shown) |
| --- | --- |
| 1 | -13.52 |
| 2 | -349.46 |
| 3 | -27.04 |
| 4 | -23.08 |
| 5 | -23.25 |
| 6 | -23.07 |